DFT (PBE) results for CeBiPd5 after structural relaxation.

Geometry as POSCAR:
```
CeBiPd5
1.0
8.859 0.000 0.000
0.000 5.546 0.000
0.000 0.000 10.966
Ce Bi Pd
4 4 20
direct
0.243 0.250 0.047
0.257 0.750 0.547
0.743 0.250 0.453
0.757 0.750 0.953
0.150 0.250 0.347
0.350 0.750 0.847
0.650 0.250 0.153
0.850 0.750 0.653
0.067 0.504 0.806
0.067 0.996 0.806
0.080 0.250 0.585
0.095 0.750 0.024
0.178 0.750 0.271
0.322 0.250 0.771
0.405 0.250 0.524
0.420 0.750 0.085
0.433 0.004 0.306
0.433 0.496 0.306
0.567 0.504 0.694
0.567 0.996 0.694
0.580 0.250 0.915
0.595 0.750 0.476
0.678 0.750 0.229
0.822 0.250 0.729
0.905 0.250 0.976
0.920 0.750 0.415
0.933 0.004 0.194
0.933 0.496 0.194
```

Computed properties:
Spin magnetization: 2.4 μB/cell
ΔE_f: -0.50 eV/atom
Symmetry: No. 62
VASP energy: -39.287 eV/f.u.

---

DFT (PBE) results for CeBi2Pd after structural relaxation.

Geometry as POSCAR:
```
CeBi2Pd
1.0
4.855 0.000 0.000
0.000 4.855 0.000
0.000 0.000 4.334
Ce Bi Pd
1 2 1
direct
0.000 0.000 0.000
0.000 0.500 0.500
0.500 0.000 0.500
0.500 0.500 0.000
```

Computed properties:
Spin magnetization: 0.6 μB/cell
ΔE_f: -0.52 eV/atom
Symmetry: No. 123
VASP energy: -20.954 eV/f.u.

---

DFT (PBE) results for CeBi2Pd7 after structural relaxation.

Geometry as POSCAR:
```
CeBi2Pd7
1.0
3.762 -7.002 0.000
3.762 7.002 0.000
0.000 0.000 4.381
Ce Bi Pd
1 2 7
direct
0.000 0.000 0.000
0.306 0.694 0.500
0.694 0.306 0.500
0.078 0.282 0.500
0.194 0.806 0.000
0.282 0.078 0.500
0.500 0.500 0.500
0.718 0.922 0.500
0.806 0.194 0.000
0.922 0.718 0.500
```

Computed properties:
Spin magnetization: 0.1 μB/cell
ΔE_f: -0.19 eV/atom
Symmetry: No. 65
Excess energy over the best structure of this formula in the dataset: 0.228 eV/atom
VASP energy: -51.912 eV/f.u.

---

DFT (PBE) results for Ce2BiPd6 after structural relaxation.

Geometry as POSCAR:
```
Ce2BiPd6
1.0
5.007 -2.891 0.000
5.007 2.891 0.000
-0.001 0.000 6.331
Ce Bi Pd
2 1 6
direct
0.167 0.167 0.293
0.833 0.833 0.707
0.500 0.500 0.500
0.147 0.676 0.169
0.324 0.324 0.831
0.324 0.853 0.831
0.676 0.147 0.169
0.676 0.676 0.169
0.853 0.324 0.831
```

Computed properties:
Spin magnetization: 1.0 μB/cell
ΔE_f: -0.63 eV/atom
Symmetry: No. 12
VASP energy: -52.537 eV/f.u.

---

DFT (PBE) results for Ce3Bi3Pd2 after structural relaxation.

Geometry as POSCAR:
```
Ce3Bi3Pd2
1.0
10.009 -2.252 0.000
10.009 2.252 0.000
-1.176 0.000 4.715
Ce Bi Pd
3 3 2
direct
0.000 0.000 0.000
0.147 0.147 0.647
0.853 0.853 0.353
0.346 0.346 0.846
0.500 0.500 0.500
0.654 0.654 0.154
0.258 0.258 0.259
0.742 0.742 0.741
```

Computed properties:
Spin magnetization: 3.0 μB/cell
ΔE_f: -0.66 eV/atom
Symmetry: No. 12
VASP energy: -45.142 eV/f.u.

---

DFT (PBE) results for CeBiPd after structural relaxation.

Geometry as POSCAR:
```
CeBiPd
1.0
-1.794 1.794 5.810
1.794 -1.794 5.810
1.794 1.794 -5.810
Ce Bi Pd
1 1 1
direct
0.000 0.000 0.000
0.291 0.291 0.000
0.633 0.633 0.000
```

Computed properties:
Spin magnetization: 0.3 μB/cell
ΔE_f: -0.53 eV/atom
Symmetry: No. 107
VASP energy: -16.593 eV/f.u.

---

DFT (PBE) results for CeBiPd14 after structural relaxation.

Geometry as POSCAR:
```
CeBiPd14
1.0
5.805 0.000 0.000
0.000 5.805 0.000
0.000 0.000 7.862
Ce Bi Pd
1 1 14
direct
0.000 0.000 0.000
0.500 0.500 0.000
0.000 0.000 0.500
0.000 0.500 0.000
0.000 0.500 0.500
0.249 0.249 0.257
0.249 0.249 0.743
0.249 0.751 0.257
0.249 0.751 0.743
0.500 0.000 0.000
0.500 0.000 0.500
0.500 0.500 0.500
0.751 0.249 0.257
0.751 0.249 0.743
0.751 0.751 0.257
0.751 0.751 0.743
```

Computed properties:
Spin magnetization: 0.0 μB/cell
ΔE_f: -0.28 eV/atom
Symmetry: No. 123
VASP energy: -86.917 eV/f.u.

---

DFT (PBE) results for CeBi3Pd3 after structural relaxation.

Geometry as POSCAR:
```
CeBi3Pd3
1.0
7.506 0.000 0.000
0.000 7.506 0.000
0.000 0.000 7.506
Ce Bi Pd
2 6 6
direct
0.000 0.000 0.000
0.500 0.500 0.500
0.000 0.250 0.500
0.000 0.750 0.500
0.250 0.500 0.000
0.500 0.000 0.250
0.500 0.000 0.750
0.750 0.500 0.000
0.000 0.500 0.250
0.000 0.500 0.750
0.250 0.000 0.500
0.500 0.250 0.000
0.500 0.750 0.000
0.750 0.000 0.500
```

Computed properties:
Spin magnetization: 2.8 μB/cell
ΔE_f: -0.03 eV/atom
Symmetry: No. 223
VASP energy: -33.331 eV/f.u.